# 1
Density functional theory data (PBE) for a relaxed structure of BaNpPtSe3.

Cell: 8.710 4.082 9.538 Å, 90.00 113.06 90.00°
Space group P2_1/m (No. 11)
Inequivalent atoms, fractional coordinates:
Ba  0.018  0.250  0.259 (multiplicity 2)
Np  0.464  0.750  0.704 (multiplicity 2)
Pt  0.401  0.750  0.003 (multiplicity 2)
Se  0.215  0.250  0.633 (multiplicity 2)
Se  0.232  0.250  0.021 (multiplicity 2)
Se  0.341  0.750  0.365 (multiplicity 2)

- E (eV per atom) = -6.45

# 2
Density functional theory data (PBE) for a relaxed structure of BaPu2NpS8.

Cell: 6.236 8.442 6.330 Å, 90.00 90.64 90.00°
Space group P2/m (No. 10)
Inequivalent atoms, fractional coordinates:
Ba  0.000  0.000  0.000 (multiplicity 1)
Pu  0.500  0.254  0.500 (multiplicity 2)
Np  0.000  0.500  0.000 (multiplicity 1)
S  0.250  0.293  0.156 (multiplicity 4)
S  0.271  0.000  0.594 (multiplicity 2)
S  0.273  0.500  0.667 (multiplicity 2)

- E (eV per atom) = -7.60

# 3
Density functional theory data (PBE) for a relaxed structure of Ba2PuNpSe6.

Cell: 7.473 7.852 13.140 Å, 90.00 124.63 90.00°
Space group P2_1/c (No. 14)
Inequivalent atoms, fractional coordinates:
Ba  0.229  0.070  0.250 (multiplicity 4)
Pu  0.500  0.000  0.000 (multiplicity 2)
Np  0.000  0.000  0.500 (multiplicity 2)
Se  0.150  0.205  0.953 (multiplicity 4)
Se  0.253  0.699  0.954 (multiplicity 4)
Se  0.335  0.018  0.747 (multiplicity 4)

- E (eV per atom) = -6.75

M_tot (computed, μB per cell): 6.22; 9.00; 14.00
Raw formation energy (computed, meV per atom): -1227; -1219; -1547